No. 1
Material: ScP2O2
Method: DFT, GGA-PBEsol
State: optimized geometry

## Properties
DFT total energy	-31.1	eV per cell
formation energy without anion corrections	-490	meV/atom

Unit cell a=3.562 b=3.562 c=5.227 alpha=90.00 beta=90.00 gamma=90.00
Fractional positions:
O 0.000 0.000 0.500
O 0.000 0.000 0.000
P 0.000 0.500 0.000
P 0.500 0.000 0.000
Sc 0.500 0.500 0.500

=====

No. 2
Material: InSb2Te
Method: DFT, GGA-PBEsol
State: optimized geometry

## Properties
DFT total energy	-15.0	eV per cell
formation energy without anion corrections	168	meV/atom

Unit cell a=3.314 b=3.314 c=11.530 alpha=81.74 beta=81.74 gamma=60.00
Fractional positions:
In 0.251 0.251 0.247
Sb 0.002 0.002 0.995
Sb 0.745 0.745 0.766
Te 0.503 0.503 0.491

=====

> DFT total energy of number 2 (InSb2Te)?

-15.0 eV per cell